--- 1 ---
The following is a DFT calculation (PBE-GGA) of Pa2Ga5Au3 after structural relaxation.

abc: 6.2052 8.6023 8.6023
angles: 74.53 68.86 68.86
Last column: nearest neighbours and their distance in Å.
Element x y z (fractional)
Au 0.6371 0.4782 0.2475  5 Ga 2.45-2.58
Ga 0.8858 0.9636 0.2648  3 Au 2.45-2.61, 2 Ga 2.60
Au 0.2500 0.0000 0.0000  6 Ga 2.61-2.77
Ga 0.9768 0.7732 0.7732  3 Au 2.57-2.77, 2 Ga 2.60
Ga 0.5232 0.2268 0.2268  3 Au 2.57-2.77, 2 Ga 2.60
Ga 0.0232 0.2268 0.2268  3 Au 2.57-2.77, 2 Ga 2.60
Ga 0.4768 0.7732 0.7732  3 Au 2.57-2.77, 2 Ga 2.60
Ga 0.2500 0.5000 0.5000  4 Au 2.58
Ga 0.3858 0.2648 0.9636  3 Au 2.45-2.61, 2 Ga 2.60
Au 0.1371 0.2475 0.4782  5 Ga 2.45-2.58
Au 0.7500 0.0000 0.0000  6 Ga 2.61-2.77
Pa 0.8712 0.3973 0.8603  10 Ga 3.21-3.41, 6 Au 3.27-3.56
Pa 0.3712 0.8603 0.3973  10 Ga 3.21-3.41, 6 Au 3.27-3.56
Au 0.8629 0.7525 0.5218  5 Ga 2.45-2.58
Ga 0.7500 0.5000 0.5000  4 Au 2.58
Au 0.3629 0.5218 0.7525  5 Ga 2.45-2.58
Pa 0.1288 0.6027 0.1397  10 Ga 3.21-3.41, 6 Au 3.27-3.56
Ga 0.6142 0.7352 0.0364  3 Au 2.45-2.61, 2 Ga 2.60
Pa 0.6288 0.1397 0.6027  10 Ga 3.21-3.41, 6 Au 3.27-3.56
Ga 0.1142 0.0364 0.7352  3 Au 2.45-2.61, 2 Ga 2.60

Results
As for the symmetry: Ibam. The size of the total moment comes out at 1.1 μB per formula unit. The volume is 394.5 Å³/cell. As for the density of states at the Fermi level: 21.67 states/eV/cell.


--- 2 ---
The following is a DFT calculation (PBE-GGA) of Pa2Ga5Au3 after structural relaxation.

abc: 4.5734 6.8463 12.7385
angles: 90.00 100.34 90.00
Last column: nearest neighbours and their distance in Å.
Element x y z (fractional)
Au 0.3927 0.0239 0.7853  4 Ga 2.61-2.77
Ga 0.7092 0.0211 0.4184  2 Ga 2.64-2.84, 3 Au 2.69-2.70
Au 0.0549 0.9446 0.1097  5 Ga 2.63-2.71
Ga 0.0493 0.5488 0.0985  1 Ga 2.64, 4 Au 2.71-2.72
Ga 0.3933 0.4289 0.7865  3 Au 2.63-2.77, 1 Ga 2.64
Pa 0.5128 0.2464 0.0256  6 Au 3.04-3.37, 6 Ga 3.08-3.25
Ga 0.9507 0.0488 0.9015  1 Ga 2.64, 4 Au 2.71-2.72
Ga 0.2908 0.5211 0.5816  2 Ga 2.64-2.84, 3 Au 2.69-2.70
Ga 0.2914 0.9357 0.5828  4 Au 2.61-2.72, 1 Ga 2.84
Au 0.7798 0.7260 0.5596  7 Ga 2.59-2.72
Au 0.6073 0.5239 0.2147  4 Ga 2.61-2.77
Pa 0.1724 0.7342 0.3449  9 Ga 3.12-3.34, 3 Au 3.16-3.28
Au 0.9451 0.4446 0.8903  5 Ga 2.63-2.71
Pa 0.8276 0.2342 0.6551  9 Ga 3.12-3.34, 3 Au 3.16-3.28
Au 0.2202 0.2260 0.4404  7 Ga 2.59-2.72
Pa 0.4872 0.7464 0.9744  6 Au 3.04-3.37, 6 Ga 3.08-3.25
Ga 0.7086 0.4357 0.4172  4 Au 2.61-2.72, 1 Ga 2.84
Ga 0.1173 0.2552 0.2346  2 Au 2.59-2.64, 1 Ga 2.64
Ga 0.6067 0.9289 0.2135  3 Au 2.63-2.77, 1 Ga 2.64
Ga 0.8827 0.7552 0.7654  2 Au 2.59-2.64, 1 Ga 2.64

Results
As for the symmetry: Cmc2_1. The size of the total moment comes out at 1.6 μB per formula unit. The volume is 392.4 Å³/cell. As for the density of states at the Fermi level: 18.78 states/eV/cell.


Which of them is the most stable? Correct choice: 2.


--- 1 ---
The following is a DFT calculation (PBE-GGA) of Pa2GaAu3 after structural relaxation.

abc: 3.2384 4.7371 8.2058
angles: 90.00 90.00 90.00
Last column: nearest neighbours and their distance in Å.
Element x y z (fractional)
Pa 0.0000 0.5000 0.9976  10 Au 3.16-3.24, 2 Ga 3.17, 2 Pa 3.24
Ga 0.5000 0.5000 0.3304  3 Au 2.67-2.69
Au 0.5000 0.5000 0.6561  1 Ga 2.67, 2 Au 2.79
Pa 0.0000 0.0000 0.5030  8 Au 3.13-3.18, 4 Ga 3.20, 2 Pa 3.24
Au 0.5000 0.0000 0.8366  3 Au 2.79
Au 0.5000 0.0000 0.1763  2 Ga 2.69, 1 Au 2.79

Results
As for the symmetry: Pmm2. The size of the total moment comes out at 1.5 μB per formula unit. The volume is 125.9 Å³/cell. As for the density of states at the Fermi level: 7.33 states/eV/cell.


--- 2 ---
The following is a DFT calculation (PBE-GGA) of Pa2GaAu3 after structural relaxation.

abc: 3.3737 4.5483 9.1960
angles: 104.32 100.57 90.00
Last column: nearest neighbours and their distance in Å.
Element x y z (fractional)
Ga 0.4633 0.9633 0.9266  3 Au 2.58-2.62
Pa 0.8804 0.3804 0.7609  6 Au 3.07-3.16, 4 Ga 3.18, 2 Pa 3.37
Pa 0.1185 0.1185 0.2370  8 Au 3.10-3.20, 2 Ga 3.20, 2 Pa 3.37
Au 0.3133 0.8133 0.6267  1 Ga 2.62, 2 Au 2.73
Au 0.6910 0.6910 0.3819  3 Au 2.73-2.76
Au 0.5334 0.5334 0.0668  2 Ga 2.58, 1 Au 2.76

Results
As for the symmetry: Imm2. The size of the total moment comes out at 2.0 μB per formula unit. The volume is 134.3 Å³/cell. As for the density of states at the Fermi level: 7.13 states/eV/cell.


Which of them is the most stable? Correct choice: 1.


--- 1 ---
The following is a DFT calculation (PBE-GGA) of GaPbAu3 after structural relaxation.

abc: 5.7552 6.6064 6.6061
angles: 120.00 90.00 90.00
Last column: nearest neighbours and their distance in Å.
Element x y z (fractional)
Au 0.7500 0.6170 0.8085  2 Ga 2.62, 2 Au 2.81
Au 0.2500 0.8085 0.6170  2 Ga 2.62, 2 Au 2.81
Pb 0.2501 0.3333 0.6666  12 Au 3.30-3.32
Au 0.7500 0.1915 0.3830  2 Ga 2.62, 2 Au 2.81
Ga 0.0000 0.0000 0.0000  6 Au 2.62, 2 Ga 2.88
Au 0.2500 0.3830 0.1915  2 Ga 2.62, 2 Au 2.81
Pb 0.7499 0.6667 0.3334  12 Au 3.30-3.32
Ga 0.5000 0.0000 0.0000  6 Au 2.62, 2 Ga 2.88
Au 0.2499 0.8085 0.1915  2 Ga 2.62, 2 Au 2.81
Au 0.7501 0.1915 0.8086  2 Ga 2.62, 2 Au 2.81

Results
As for the symmetry: P6_3/mmc. The size of the total moment comes out at 0.0 μB per formula unit. The volume is 217.5 Å³/cell. As for the density of states at the Fermi level: 2.86 states/eV/cell.


--- 2 ---
The following is a DFT calculation (PBE-GGA) of GaPbAu3 after structural relaxation.

abc: 4.9344 4.9344 4.9344
angles: 90.00 90.00 90.00
Last column: nearest neighbours and their distance in Å.
Element x y z (fractional)
Pb 0.5000 0.5000 0.5000  12 Au 3.49
Au 0.0000 0.5000 0.0000  2 Ga 2.47
Ga 0.0000 0.0000 0.0000  6 Au 2.47
Au 0.0000 0.0000 0.5000  2 Ga 2.47
Au 0.5000 0.0000 0.0000  2 Ga 2.47

Results
As for the symmetry: Pm-3m. The size of the total moment comes out at 0.0 μB per formula unit. The volume is 120.1 Å³/cell. As for the density of states at the Fermi level: 1.37 states/eV/cell.


Which of them is the most stable? Correct choice: 1.


--- 1 ---
The following is a DFT calculation (PBE-GGA) of GaPbAu3 after structural relaxation.

abc: 4.2134 8.9474 11.1948
angles: 90.00 90.00 90.00
Last column: nearest neighbours and their distance in Å.
Element x y z (fractional)
Au 0.2500 0.3377 0.2814  2 Ga 2.68, 2 Au 2.81-2.93
Ga 0.2500 0.6152 0.8621  7 Au 2.62-2.70
Pb 0.2500 0.6702 0.5155  7 Au 3.10-3.28, 2 Ga 3.33
Au 0.2500 0.0655 0.4071  3 Ga 2.62-2.70, 2 Au 2.81-2.93
Au 0.7500 0.1004 0.1932  2 Ga 2.62-2.70
Au 0.7500 0.6623 0.7186  2 Ga 2.68, 2 Au 2.81-2.93
Pb 0.7500 0.3298 0.4845  7 Au 3.10-3.28, 2 Ga 3.33
Au 0.2500 0.8996 0.8068  2 Ga 2.62-2.70
Au 0.2500 0.5655 0.0929  3 Ga 2.62-2.70, 2 Au 2.81-2.93
Au 0.7500 0.9345 0.5929  3 Ga 2.62-2.70, 2 Au 2.81-2.93
Au 0.2500 0.8377 0.2186  2 Ga 2.68, 2 Au 2.81-2.93
Ga 0.7500 0.8848 0.3621  7 Au 2.62-2.70
Pb 0.7500 0.8298 0.0155  7 Au 3.10-3.28, 2 Ga 3.33
Au 0.7500 0.4345 0.9071  3 Ga 2.62-2.70, 2 Au 2.81-2.93
Au 0.2500 0.3996 0.6932  2 Ga 2.62-2.70
Au 0.7500 0.1623 0.7814  2 Ga 2.68, 2 Au 2.81-2.93
Ga 0.2500 0.1152 0.6379  7 Au 2.62-2.70
Au 0.7500 0.6004 0.3068  2 Ga 2.62-2.70
Pb 0.2500 0.1702 0.9845  7 Au 3.10-3.28, 2 Ga 3.33
Ga 0.7500 0.3848 0.1379  7 Au 2.62-2.70

Results
As for the symmetry: Pnma. The size of the total moment comes out at 0.0 μB per formula unit. The volume is 422.0 Å³/cell. As for the density of states at the Fermi level: 5.89 states/eV/cell.


--- 2 ---
The following is a DFT calculation (PBE-GGA) of GaPbAu3 after structural relaxation.

abc: 5.3729 5.3729 5.3729
angles: 90.00 90.00 90.00
Last column: nearest neighbours and their distance in Å.
Element x y z (fractional)
Pb 0.0000 0.0000 0.0000  6 Au 2.69
Au 0.0000 0.0000 0.5000  2 Pb 2.69
Ga 0.5000 0.5000 0.5000  12 Au 3.80
Au 0.5000 0.0000 0.0000  2 Pb 2.69
Au 0.0000 0.5000 0.0000  2 Pb 2.69

Results
As for the symmetry: Pm-3m. The size of the total moment comes out at 0.0 μB per formula unit. The volume is 155.1 Å³/cell. As for the density of states at the Fermi level: 1.07 states/eV/cell.


Which of them is the most stable? Correct choice: 1.